(1)
Entry from Alexandria: GeTe2Pd after structural relaxation (PBE-GGA).

total magnetic moment	0.00	Bohr magnetons per cell
DOS(E_F)	2.80	states/eV per cell
volume	28.9	Å³ per atom
ΔE_f (raw)	0.108	eV/atom
energy	-3.916	eV per atom

a = 9.100 Å, b = 9.100 Å, c = 9.100 Å
α = 24.70°, β = 24.70°, γ = 24.70°
Positions (direct):
1 Ge 0.000 0.000 0.000
2 Te 0.890 0.890 0.890
3 Te 0.110 0.110 0.110
4 Pd 0.500 0.500 0.500



(2)
Entry from Alexandria: SrLa2Sc2 after structural relaxation (PBE-GGA).

relative energy among the computed polymorphs	0.0000	eV per atom
total magnetic moment	0.00	Bohr magnetons per cell
formation energy	0.1324	eV/atom
DOS(E_F)	7.19	states/eV per cell
volume	34.2	Å³ per atom
energy	-4.708	eV per atom

a = 9.787 Å, b = 9.787 Å, c = 3.574 Å
α = 90.00°, β = 90.00°, γ = 90.00°
Positions (direct):
1 Sc 0.386 0.886 0.000
2 Sc 0.886 0.614 0.000
3 Sc 0.614 0.114 0.000
4 Sc 0.114 0.386 0.000
5 Sr 0.000 0.000 0.000
6 Sr 0.500 0.500 0.000
7 La 0.177 0.677 0.500
8 La 0.677 0.823 0.500
9 La 0.823 0.323 0.500
10 La 0.323 0.177 0.500



(3)
Entry from Alexandria: SbO2F4 after structural relaxation (PBE-GGA).

total magnetic moment	1.91	Bohr magnetons per cell
DOS(E_F)	3.16	states/eV per cell
volume	16.8	Å³ per atom
ΔE_f (raw)	-1.475	eV/atom
energy	-4.550	eV per atom

a = 3.596 Å, b = 4.126 Å, c = 8.793 Å
α = 113.40°, β = 100.63°, γ = 89.93°
Site moments in Bohr magnetons follow the coordinates.
Positions (direct):
1 Sb 0.044 0.961 0.016  0.00
2 O 0.302 0.054 0.503  0.78
3 O 0.518 0.826 0.506  0.78
4 F 0.082 0.526 0.102  0.00
5 F 0.950 0.545 0.804  0.00
6 F 0.490 0.048 0.896  0.00
7 F 0.615 0.040 0.174  0.00



(4)
Entry from Alexandria: CdRu after structural relaxation (PBE-GGA).

total magnetic moment	0.00	Bohr magnetons per cell
formation energy	0.4285	eV/atom
DOS(E_F)	10.55	states/eV per cell
volume	16.8	Å³ per atom
energy	-4.667	eV per atom

a = 4.689 Å, b = 4.930 Å, c = 5.807 Å
α = 90.00°, β = 90.00°, γ = 90.00°
Positions (direct):
1 Cd 0.250 0.078 0.124
2 Cd 0.750 0.422 0.624
3 Cd 0.250 0.578 0.376
4 Cd 0.750 0.922 0.876
5 Ru 0.250 0.056 0.622
6 Ru 0.750 0.444 0.122
7 Ru 0.250 0.556 0.878
8 Ru 0.750 0.944 0.378



(5)
Entry from Alexandria: ErNpIn2Te4 after structural relaxation (PBE-GGA).

total magnetic moment	4.01	Bohr magnetons per cell
DOS(E_F)	8.81	states/eV per cell
volume	34.3	Å³ per atom
ΔE_f (raw)	-0.707	eV/atom
energy	-5.150	eV per atom

a = 4.407 Å, b = 7.653 Å, c = 8.522 Å
α = 107.29°, β = 90.00°, γ = 90.00°
Site moments in Bohr magnetons follow the coordinates.
Positions (direct):
1 Er 0.500 0.500 0.000  0.03
2 Np 0.000 0.000 0.000  3.99
3 In 0.500 0.000 0.500  0.00
4 In 0.000 0.500 0.500  -0.02
5 Te 0.500 0.245 0.220  -0.05
6 Te 0.500 0.755 0.780  -0.05
7 Te 0.000 0.266 0.782  -0.03
8 Te 0.000 0.734 0.218  -0.03



(6)
Entry from Alexandria: SiNiRh2 after structural relaxation (PBE-GGA).

total magnetic moment	0.62	Bohr magnetons per cell
DOS(E_F)	4.85	states/eV per cell
volume	12.8	Å³ per atom
ΔE_f (raw)	-0.333	eV/atom
energy	-6.809	eV per atom

a = 2.823 Å, b = 2.823 Å, c = 6.420 Å
α = 90.00°, β = 90.00°, γ = 90.00°
Site moments in Bohr magnetons follow the coordinates.
Positions (direct):
1 Ni 0.500 0.500 0.712  0.05
2 Rh 0.000 0.000 0.981  0.45
3 Rh 0.500 0.500 0.289  0.13
4 Si 0.000 0.000 0.518  -0.01